[1]
## UPa2GaN5 (PBE)

Data for a relaxed UPa2GaN5 crystal.

## Properties
Its density of states at the Fermi level is 12.3 states/eV/cell. The total magnetization is 5.6 Bohr magnetons per cell. The calculation puts the uncorrected formation energy at -107.13 kJ/mol of atoms. Its total energy is -9.436 eV/atom.

POSCAR file:
```
UPa2GaN5
1.0
-1.404 0.711 3.024
-0.471 -6.987 -0.498
9.765 -0.998 4.769
U Pa Ga N
2 4 2 10
Direct
0.774 0.549 0.489 U
0.226 0.451 0.989 U
0.866 0.732 0.754 Pa
0.124 0.247 0.712 Pa
0.134 0.268 0.254 Pa
0.876 0.753 0.212 Pa
0.504 0.009 0.981 Ga
0.496 0.991 0.481 Ga
0.376 0.752 0.067 N
0.705 0.410 0.838 N
0.482 0.965 0.798 N
0.282 0.564 0.638 N
0.939 0.877 0.546 N
0.624 0.248 0.567 N
0.295 0.590 0.338 N
0.518 0.035 0.298 N
0.718 0.436 0.138 N
0.061 0.123 0.046 N
```

---

[2]
## CaZrAs (PBE)

Data for a relaxed CaZrAs crystal.

## Properties
Its density of states at the Fermi level is 1.9 states/eV/cell. The total magnetization is 1.2 Bohr magnetons per cell. Its total energy is -5.603 eV/atom. The calculation puts the calculated formation energy at -12.4 kcal/mol of atoms.

POSCAR file:
```
CaZrAs
1.0
6.290 -0.150 0.000
4.306 4.587 0.000
-5.298 -2.219 2.568
As Ca Zr
1 1 1
Direct
0.963 0.963 0.000 As
0.660 0.660 0.000 Ca
0.376 0.376 0.000 Zr
```

---

[3]
## LaTaSi2O (PBE)

Data for a relaxed LaTaSi2O crystal.

## Properties
Its density of states at the Fermi level is 6.6 states/eV/cell. The total magnetization is 0.0 Bohr magnetons per cell. The calculation puts the uncorrected formation energy at 82.65 kJ/mol of atoms. Its total energy is -5.660 eV/atom.

POSCAR file:
```
LaTaSi2O
1.0
5.453 0.000 0.000
0.000 3.989 0.000
0.000 0.000 5.453
Si La O Ta
2 1 1 1
Direct
0.000 0.000 0.500 Si
0.500 0.000 0.000 Si
0.000 0.000 0.000 La
0.000 0.500 0.000 O
0.500 0.500 0.500 Ta
```

---

[4]
## BeZn2Mo (PBE)

Data for a relaxed BeZn2Mo crystal.

## Properties
Its density of states at the Fermi level is 1.5 states/eV/cell. The total magnetization is 0.0 Bohr magnetons per cell. Its total energy is -4.110 eV/atom. The calculation puts the calculated formation energy at 3.8 kcal/mol of atoms.

POSCAR file:
```
BeZn2Mo
1.0
4.140 0.000 0.000
0.000 2.695 0.006
0.000 1.112 4.794
Be Mo Zn
1 1 2
Direct
0.500 0.250 0.250 Be
0.500 0.750 0.750 Mo
0.000 0.115 0.012 Zn
0.000 0.385 0.488 Zn
```

---

[5]
## Tl5AsAu4 (PBE)

Data for a relaxed Tl5AsAu4 crystal.

## Properties
Its density of states at the Fermi level is 4.1 states/eV/cell. The total magnetization is 0.0 Bohr magnetons per cell. Its total energy is -2.942 eV/atom. The calculation puts the calculated formation energy at 0.4 kcal/mol of atoms.

POSCAR file:
```
Tl5AsAu4
1.0
4.018 0.000 -0.838
-0.798 6.753 -3.826
0.009 -0.854 10.090
Tl As Au
5 1 4
Direct
0.179 0.297 0.358 Tl
0.179 0.764 0.358 Tl
0.821 0.236 0.642 Tl
0.500 0.500 0.000 Tl
0.821 0.703 0.642 Tl
0.500 0.000 0.000 As
0.633 0.967 0.266 Au
0.020 0.256 0.039 Au
0.367 0.033 0.734 Au
0.980 0.744 0.961 Au
```

---

[6]
## MnCl2 (PBE)

Data for a relaxed MnCl2 crystal.

## Properties
Its density of states at the Fermi level is 0.0 states/eV/cell. The total magnetization is 5.0 Bohr magnetons per cell. The calculation puts the uncorrected formation energy at -104.56 kJ/mol of atoms. Its total energy is -5.371 eV/atom.

POSCAR file:
```
MnCl2
1.0
6.879 0.003 0.002
5.876 3.577 0.002
5.876 1.649 3.174
Mn Cl
1 2
Direct
0.000 0.000 0.000 Mn
0.737 0.737 0.737 Cl
0.263 0.263 0.263 Cl
```

---

[7]
## Co (PBE)

Data for a relaxed Co crystal.

## Properties
Its density of states at the Fermi level is 1.3 states/eV/cell. The total magnetization is 1.8 Bohr magnetons per cell. Its total energy is -6.337 eV/atom. The calculation puts the calculated formation energy at 17.7 kcal/mol of atoms.

POSCAR file:
```
Co
1.0
2.334 0.000 0.000
0.000 2.334 0.000
0.000 0.000 2.334
Co
1
Direct
0.000 0.000 0.000 Co
```

---

[8]
## SrLaAlAu (PBE)

Data for a relaxed SrLaAlAu crystal.

## Properties
Its density of states at the Fermi level is 4.1 states/eV/cell. The total magnetization is 0.0 Bohr magnetons per cell. Its total energy is -3.848 eV/atom. The calculation puts the calculated formation energy at -10.2 kcal/mol of atoms.

POSCAR file:
```
SrLaAlAu
1.0
-2.502 0.554 4.791
2.346 -1.884 4.524
1.949 3.472 3.697
Sr Au Al La
1 1 1 1
Direct
0.250 0.250 0.250 Sr
0.000 0.000 0.000 Au
0.500 0.500 0.500 Al
0.750 0.750 0.750 La
```

---

[9]
## Hg2PS4 (PBE)

Data for a relaxed Hg2PS4 crystal.

## Properties
Its density of states at the Fermi level is 3.5 states/eV/cell. The total magnetization is 0.0 Bohr magnetons per cell. The calculation puts the uncorrected formation energy at -6.23 kJ/mol of atoms. Its total energy is -3.282 eV/atom.

POSCAR file:
```
Hg2PS4
1.0
-2.209 4.567 -3.864
-4.341 1.610 4.385
6.480 0.142 1.726
Hg P S
2 1 4
Direct
0.750 0.250 0.500 Hg
0.250 0.750 0.500 Hg
0.500 0.500 0.000 P
0.803 0.408 0.211 S
0.408 0.803 0.211 S
0.592 0.592 0.789 S
0.197 0.197 0.789 S
```

---

[10]
## Li2BeAl (PBE)

Data for a relaxed Li2BeAl crystal.

## Properties
Its density of states at the Fermi level is 0.7 states/eV/cell. The total magnetization is 0.0 Bohr magnetons per cell. Its total energy is -2.734 eV/atom. The calculation puts the calculated formation energy at 2.1 kcal/mol of atoms.

POSCAR file:
```
Li2BeAl
1.0
-2.548 3.015 1.844
-2.114 -1.349 -0.715
-0.761 -2.992 3.842
Al Be Li
1 1 2
Direct
0.500 0.250 0.250 Al
0.500 0.750 0.750 Be
0.000 0.964 0.991 Li
0.000 0.536 0.509 Li
```

---

[11]
## PrTlSb2 (PBE)

Data for a relaxed PrTlSb2 crystal.

## Properties
Its density of states at the Fermi level is 3.6 states/eV/cell. The total magnetization is 0.0 Bohr magnetons per cell. The calculation puts the uncorrected formation energy at -51.68 kJ/mol of atoms. Its total energy is -4.383 eV/atom.

POSCAR file:
```
PrTlSb2
1.0
-4.205 -0.794 0.218
-0.131 -0.475 -4.256
1.258 -6.475 0.684
Pr Sb Tl
1 2 1
Direct
0.500 0.500 0.000 Pr
0.000 0.000 0.776 Sb
0.000 0.000 0.224 Sb
0.500 0.500 0.500 Tl
```

---

[12]
## RbBeIn3 (PBE)

Data for a relaxed RbBeIn3 crystal.

## Properties
Its density of states at the Fermi level is 4.2 states/eV/cell. The total magnetization is 0.0 Bohr magnetons per cell. Its total energy is -2.346 eV/atom. The calculation puts the calculated formation energy at 5.4 kcal/mol of atoms.

POSCAR file:
```
RbBeIn3
1.0
5.238 0.000 0.000
0.000 5.238 0.000
0.000 0.000 5.238
Be Rb In
1 1 3
Direct
0.000 0.000 0.000 Be
0.500 0.500 0.500 Rb
0.000 0.500 0.000 In
0.000 0.000 0.500 In
0.500 0.000 0.000 In
```